[1]
DFT (GGA-PBE) results for a relaxed BeNb2AlHg crystal.

The structure belongs to space group P4/mmm (No. 123); the cell edges are 5.1462, 5.1462 and 4.6261 Å and the angles 90.00°, 90.00° and 90.00°. The inequivalent atoms are Be at (0.0000, 0.0000, 0.0000), Nb at (0.0000, 0.5000, 0.5000), Al at (0.5000, 0.5000, 0.0000) and Hg at (0.5000, 0.5000, 0.5000).

The calculation puts the volume at 24.5 Å³/atom. The formation energy is 1.907 eV per atom.

[2]
DFT (GGA-PBE) results for a relaxed Be2AlNiHg crystal.

The structure belongs to space group P4/mmm (No. 123); the cell edges are 4.1735, 4.1735 and 4.4412 Å and the angles 90.00°, 90.00° and 90.00°. The inequivalent atoms are Be at (0.0000, 0.5000, 0.0000), Al at (0.0000, 0.0000, 0.5000), Ni at (0.0000, 0.0000, 0.0000) and Hg at (0.5000, 0.5000, 0.5000).

The calculation puts the volume at 15.5 Å³/atom. The formation energy is 0.295 eV per atom.